1.
TaHIr2Os after structural relaxation. Source: the Alexandria database, functional PBE-GGA.

a b c (Å): 3.9066 3.9066 4.1118
angles (deg): 90.00 90.00 90.00
Space group P4/mmm (No. 123)
Asymmetric unit:
Ta (0.0000, 0.0000, 0.0000)
H (0.0000, 0.0000, 0.5000)
Ir (0.0000, 0.5000, 0.5000)
Os (0.5000, 0.5000, 0.0000)

As for the energy above the most stable polymorph in this dataset: 0.065 eV per atom.



2.
Tc2HIrOs after structural relaxation. Source: the Alexandria database, functional PBE-GGA.

a b c (Å): 3.9119 3.9119 3.9043
angles (deg): 90.00 90.00 90.00
Space group P4/mmm (No. 123)
Asymmetric unit:
Tc (0.0000, 0.5000, 0.0000)
H (0.0000, 0.0000, 0.0000)
Ir (0.5000, 0.5000, 0.5000)
Os (0.0000, 0.0000, 0.5000)

As for the energy above the most stable polymorph in this dataset: 0.000 eV per atom.